## one
Entry from Alexandria via LeMat-Bulk: a relaxed Ho2RhPb crystal (PBE).

Results
Space-group type: P4/mmm

Unit cell a=3.4739 b=3.4739 c=7.9840 alpha=90.00 beta=90.00 gamma=90.00
Closest atoms and distances in Å follow each position.
Fractional coordinates of all 4 atoms:
1 Pb 0.5000 0.5000 0.5000  8 Ho 3.39, 4 Pb 3.47
2 Rh 0.5000 0.5000 0.0000  8 Ho 2.96
3 Ho 0.0000 0.0000 0.7933  4 Rh 2.96, 1 Ho 3.30
4 Ho 0.0000 0.0000 0.2067  4 Rh 2.96, 1 Ho 3.30

=====

## two
Entry from Alexandria via LeMat-Bulk: a relaxed Ho2RhPb crystal (PBE).

Results
Space-group type: Fm-3m

Unit cell a=5.1246 b=5.1246 c=5.1246 alpha=60.00 beta=60.00 gamma=60.00
Closest atoms and distances in Å follow each position.
Fractional coordinates of all 4 atoms:
1 Pb 0.0000 0.0000 0.0000  8 Ho 3.14
2 Rh 0.5000 0.5000 0.5000  8 Ho 3.14
3 Ho 0.2500 0.2500 0.2500  4 Pb 3.14, 4 Rh 3.14
4 Ho 0.7500 0.7500 0.7500  4 Pb 3.14, 4 Rh 3.14

=====

Of them, two has the lowest stability.